A plane-wave DFT calculation with PBE was carried out for a relaxed La8Co2Ir crystal.

The space group is C2/m (No. 12) and the conventional cell measures 19.137, 3.949 and 9.112 Å, with angles of 90.00, 93.91 and 90.00 degrees. Symmetry generates all atoms from La at (0.011, 0.000, 0.216), La at (0.104, 0.500, 0.550), La at (0.154, 0.500, 0.956), La at (0.225, 0.000, 0.333), Co at (0.166, 0.000, 0.723) and Ir at (0.000, 0.500, 0.000).

Its total energy is -0.2165 hartree per atom.